(1)
First-principles (PBE-GGA) data for a geometry-optimized PrNd2ClO4 structure, as listed in the Alexandria database.

abc: 4.0559 4.0559 9.3739
angles: 90.00 90.00 90.00
Element x y z (fractional)
Pr (0.0000, 0.0000, 0.0000)
Nd (0.5000, 0.5000, 0.2650)
Nd (0.5000, 0.5000, 0.7350)
Cl (0.0000, 0.0000, 0.5000)
O (0.0000, 0.5000, 0.1574)
O (0.5000, 0.0000, 0.8426)
O (0.5000, 0.0000, 0.1574)
O (0.0000, 0.5000, 0.8426)

Calculated values
crystal system	tetragonal
E_form (uncorrected)	-3.120	eV per atom

(2)
First-principles (PBE-GGA) data for a geometry-optimized CuAu structure, as listed in the Alexandria database.

abc: 2.8296 3.5777 6.0172
angles: 90.00 90.00 90.00
Element x y z (fractional)
Au (0.0000, 0.0000, 0.0294)
Au (0.5000, 0.5000, 0.7206)
Cu (0.0000, 0.0000, 0.4796)
Cu (0.5000, 0.5000, 0.2704)

Calculated values
crystal system	orthorhombic
ΔH_f (0 K)	-0.016	eV/atom

(3)
First-principles (PBE-GGA) data for a geometry-optimized TbPmEr2Se6 structure, as listed in the Alexandria database.

abc: 7.2403 7.2403 7.7107
angles: 61.99 62.00 59.99
Element x y z (fractional)
Tb (0.3170, 0.3169, 0.0490)
Pm (0.8138, 0.8138, 0.5586)
Er (0.5141, 0.5141, 0.4578)
Er (0.0121, 0.0121, 0.9638)
Se (0.6157, 0.2282, 0.2471)
Se (0.2281, 0.9090, 0.2471)
Se (0.9091, 0.6157, 0.2471)
Se (0.3990, 0.7269, 0.7482)
Se (0.7270, 0.1258, 0.7482)
Se (0.1258, 0.3990, 0.7483)

Calculated values
crystal system	trigonal
E_form (uncorrected)	-1.847	eV per atom

(4)
First-principles (PBE-GGA) data for a geometry-optimized Ba3HfSe structure, as listed in the Alexandria database.

abc: 6.2538 6.2538 6.2538
angles: 90.00 90.00 90.00
Last column: magnetic moment on the atom in μB.
Element x y z (fractional)
Hf (0.5000, 0.5000, 0.5000)  1.49
Ba (0.0000, 0.5000, 0.0000)  0.18
Ba (0.0000, 0.0000, 0.5000)  0.18
Ba (0.5000, 0.0000, 0.0000)  0.20
Se (0.0000, 0.0000, 0.0000)  0.01

Calculated values
ΔE to the lowest computed polymorph	0.000	eV per atom
crystal system	cubic
E_form (uncorrected)	-0.029	eV per atom

(5)
First-principles (PBE-GGA) data for a geometry-optimized CaZnTc2 structure, as listed in the Alexandria database.

abc: 3.1368 3.1308 7.9783
angles: 66.93 90.00 90.00
Element x y z (fractional)
Zn (0.0000, 0.5494, 0.4507)
Ca (0.5000, 0.7423, 0.7575)
Tc (0.0000, 0.9438, 0.0561)
Tc (0.5000, 0.2645, 0.2357)

Calculated values
crystal system	tetragonal
ΔH_f (0 K)	0.071	eV/atom

(6)
First-principles (PBE-GGA) data for a geometry-optimized LiW2Cl structure, as listed in the Alexandria database.

abc: 7.4818 7.4818 3.2869
angles: 77.29 77.29 25.00
Element x y z (fractional)
Cl (0.7500, 0.7500, 0.7500)
Li (0.2500, 0.2500, 0.2500)
W (0.0396, 0.0396, 0.9590)
W (0.4604, 0.4604, 0.5410)

Calculated values
ΔE to the lowest computed polymorph	0.164	eV per atom
crystal system	orthorhombic
E_form (uncorrected)	0.212	eV per atom

(7)
First-principles (PBE-GGA) data for a geometry-optimized Sb2PtBr structure, as listed in the Alexandria database.

abc: 3.7655 3.7655 8.1545
angles: 90.00 90.00 90.00
Element x y z (fractional)
Sb (0.0000, 0.0000, 0.8501)
Sb (0.5000, 0.5000, 0.2250)
Br (0.0000, 0.0000, 0.5200)
Pt (0.5000, 0.5000, 0.9049)

Calculated values
ΔE to the lowest computed polymorph	0.374	eV per atom
crystal system	tetragonal
E_form (uncorrected)	-0.040	eV per atom

(8)
First-principles (PBE-GGA) data for a geometry-optimized TlCo2Br structure, as listed in the Alexandria database.

abc: 5.1041 5.1041 7.5894
angles: 50.93 50.93 37.77
Last column: magnetic moment on the atom in μB.
Element x y z (fractional)
Br (0.7500, 0.7500, 0.7500)  0.05
Co (0.0523, 0.0523, 0.1178)  1.66
Co (0.4477, 0.4477, 0.3822)  1.66
Tl (0.2500, 0.2500, 0.2500)  -0.05

Calculated values
ΔE to the lowest computed polymorph	0.010	eV per atom
crystal system	monoclinic
E_form (uncorrected)	0.355	eV per atom

(9)
First-principles (PBE-GGA) data for a geometry-optimized Al3Hg2 structure, as listed in the Alexandria database.

abc: 10.5698 10.5698 10.5698
angles: 18.16 18.16 18.16
Element x y z (fractional)
Al (0.0000, 0.0000, 0.0000)
Al (0.8012, 0.8012, 0.8012)
Al (0.1988, 0.1988, 0.1988)
Hg (0.4009, 0.4009, 0.4009)
Hg (0.5991, 0.5991, 0.5991)

Calculated values
ΔE to the lowest computed polymorph	0.000	eV per atom
crystal system	trigonal
ΔH_f (0 K)	0.140	eV/atom

(10)
First-principles (PBE-GGA) data for a geometry-optimized AcAs3Pd3 structure, as listed in the Alexandria database.

abc: 4.6281 8.6388 8.6388
angles: 120.00 90.00 90.00
Element x y z (fractional)
Ac (0.2500, 0.6667, 0.3333)
Ac (0.7500, 0.3333, 0.6667)
As (0.7500, 0.3686, 0.2955)
As (0.7500, 0.9269, 0.6314)
As (0.2500, 0.2955, 0.9269)
As (0.7500, 0.7045, 0.0731)
As (0.2500, 0.0731, 0.3686)
As (0.2500, 0.6314, 0.7045)
Pd (0.7500, 0.1862, 0.9551)
Pd (0.7500, 0.7689, 0.8138)
Pd (0.2500, 0.9551, 0.7689)
Pd (0.7500, 0.0449, 0.2311)
Pd (0.2500, 0.2311, 0.1862)
Pd (0.2500, 0.8138, 0.0449)

Calculated values
ΔE to the lowest computed polymorph	0.000	eV per atom
crystal system	hexagonal
ΔH_f (0 K)	-0.636	eV/atom

(11)
First-principles (PBE-GGA) data for a geometry-optimized Pm4InAu3 structure, as listed in the Alexandria database.

abc: 5.2596 5.2596 9.2050
angles: 73.40 73.40 60.00
Element x y z (fractional)
In (0.0000, 0.0000, 0.0000)
Au (0.2605, 0.2605, 0.2185)
Au (0.7395, 0.7395, 0.7815)
Au (0.5000, 0.5000, 0.5000)
Pm (0.8714, 0.8714, 0.3859)
Pm (0.3809, 0.3809, 0.8574)
Pm (0.1286, 0.1286, 0.6141)
Pm (0.6191, 0.6191, 0.1426)

Calculated values
crystal system	trigonal
ΔH_f (0 K)	-0.698	eV/atom

(12)
First-principles (PBE-GGA) data for a geometry-optimized Hg2IrPt structure, as listed in the Alexandria database.

abc: 9.2519 9.2519 9.2519
angles: 18.79 18.79 18.79
Last column: magnetic moment on the atom in μB.
Element x y z (fractional)
Hg (0.9992, 0.9992, 0.9992)  0.00
Hg (0.5008, 0.5008, 0.5008)  0.00
Ir (0.2500, 0.2500, 0.2500)  0.08
Pt (0.7500, 0.7500, 0.7500)  0.00

Calculated values
ΔE to the lowest computed polymorph	0.025	eV per atom
crystal system	trigonal
ΔH_f (0 K)	0.345	eV/atom